Computed, not measured: YMoH3 after structural relaxation at the PBE level of DFT.

V (Å³/cell): 57.0
E above lowest polymorph (meV per atom): 932

Cell lengths 3.8482, 3.8482, 3.8482 Å; angles 90.00, 90.00, 90.00 degrees
Last column: nearest neighbours and their distance in Å.
Space group Pm-3m (No. 221)
One atom of each set of equivalent atoms:
Y 0.0000 0.0000 0.0000  6 H 1.92
Mo 0.5000 0.5000 0.5000  12 H 2.72
H 0.0000 0.0000 0.5000  2 Y 1.92

=====

Computed, not measured: ZnMoH2 after structural relaxation at the PBE level of DFT.

V (Å³/cell): 115.5
E above lowest polymorph (meV per atom): 0

Cell lengths 2.9917, 2.9917, 14.9068 Å; angles 90.00, 90.00, 120.00 degrees
Last column: nearest neighbours and their distance in Å.
Space group R3m (No. 160, hexagonal axes)
One atom of each set of equivalent atoms:
Zn 0.0000 0.0000 0.0000  6 H 2.30-2.50
Mo 0.0000 0.0000 0.1808  6 H 1.89-1.94
H 0.0000 0.0000 0.5650  3 Mo 1.89
H 0.0000 0.0000 0.7880  3 Mo 1.94

=====

Computed, not measured: ZnMoH2 after structural relaxation at the PBE level of DFT.

V (Å³/cell): 152.4
E above lowest polymorph (meV per atom): 160

Cell lengths 4.3457, 4.3457, 8.0682 Å; angles 90.00, 90.00, 90.00 degrees
Last column: nearest neighbours and their distance in Å.
Space group I-42d (No. 122)
One atom of each set of equivalent atoms:
Zn 0.0000 0.0000 0.0000  4 H 1.86
Mo 0.0000 0.0000 0.5000  4 H 1.82
H 0.2421 0.2500 0.6250  2 Mo 1.82, 2 Zn 1.86

=====

Computed, not measured: ZnMoH3 after structural relaxation at the PBE level of DFT.

E_tot (eV per atom): -4.116
V (Å³/cell): 43.2

Cell lengths 3.5093, 3.5093, 3.5093 Å; angles 90.00, 90.00, 90.00 degrees
Last column: nearest neighbours and their distance in Å.
Space group Pm-3m (No. 221)
One atom of each set of equivalent atoms:
Zn 0.0000 0.0000 0.0000  12 H 2.48
Mo 0.5000 0.5000 0.5000  6 H 1.75
H 0.0000 0.5000 0.5000  2 Mo 1.75

=====

Computed, not measured: Zn2MoH after structural relaxation at the PBE level of DFT.

V (Å³/cell): 201.8
E above lowest polymorph (meV per atom): 0

Cell lengths 5.4784, 5.4784, 6.7253 Å; angles 90.00, 90.00, 90.00 degrees
Last column: nearest neighbours and their distance in Å.
Space group I-42d (No. 122)
One atom of each set of equivalent atoms:
Zn 0.1170 0.7500 0.1250  2 H 1.73
Mo 0.0000 0.0000 0.5000  8 Zn 2.64-2.94
H 0.0000 0.0000 0.0000  4 Zn 1.73

=====

Computed, not measured: Zn2MoH after structural relaxation at the PBE level of DFT.

V (Å³/cell): 224.1
E above lowest polymorph (meV per atom): 452

Cell lengths 6.0742, 6.0742, 6.0742 Å; angles 90.00, 90.00, 90.00 degrees
Last column: nearest neighbours and their distance in Å.
Space group Fm-3m (No. 225)
One atom of each set of equivalent atoms:
Zn 0.2500 0.2500 0.2500  4 Mo 2.63, 4 H 2.63
Mo 0.0000 0.0000 0.0000  8 Zn 2.63
H 0.0000 0.0000 0.5000  8 Zn 2.63